No. 1
# PBE-GGA Li2SnHAu, relaxed
# **Magnetization**: 0.0000 μB per atom
# **VASP energy**: -3.1618 eV/atom
data_Li2SnHAu
_space_group_name_H-M_alt 'P 4/m m m'
_space_group_IT_number 123
_space_group_name_Hall '-P 4 2'
_cell_length_a 4.103
_cell_length_b 4.103
_cell_length_c 4.384
_cell_angle_alpha 90.00
_cell_angle_beta 90.00
_cell_angle_gamma 90.00
loop_
_atom_site_label
_atom_site_type_symbol
_atom_site_fract_x
_atom_site_fract_y
_atom_site_fract_z
_atom_site_occupancy
Li1 Li 0.000 0.500 0.000 1
Sn1 Sn 0.000 0.000 0.500 1
H1 H 0.000 0.000 0.000 1
Au1 Au 0.500 0.500 0.500 1

***

No. 2
# PBE-GGA LiSn2HAu, relaxed
# **Magnetization**: 0.0000 μB per atom
# **VASP energy**: -3.3646 eV/atom
data_LiSn2HAu
_space_group_name_H-M_alt 'P 4/m m m'
_space_group_IT_number 123
_space_group_name_Hall '-P 4 2'
_cell_length_a 4.681
_cell_length_b 4.681
_cell_length_c 4.030
_cell_angle_alpha 90.00
_cell_angle_beta 90.00
_cell_angle_gamma 90.00
loop_
_atom_site_label
_atom_site_type_symbol
_atom_site_fract_x
_atom_site_fract_y
_atom_site_fract_z
_atom_site_occupancy
Li1 Li 0.000 0.000 0.000 1
Sn1 Sn 0.000 0.500 0.500 1
H1 H 0.000 0.000 0.500 1
Au1 Au 0.500 0.500 0.000 1